Density functional theory data (meta-GGA SCAN) for a PBEsol-optimized structure of MnBr2.

Cell and atoms, written as POSCAR:
```
MnBr2
1.0
-0.181 2.171 2.433
2.259 -3.275 3.091
2.763 3.244 -2.689
Br Mn
2 1
Cartesian
2.504 2.156 0.454 Br
2.337 -0.017 2.381 Br
0.000 0.000 0.000 Mn
```

Computed properties:
As for the uncorrected formation energy: 0.23 eV per atom. The total DFT energy (no corrections) is -18.829 eV/atom. As for the space-group type: No. 191. The total magnetization comes out at 4.806 μB per cell. The calculation puts the volume at 23.928 A^3/atom.